Entry 1:
KHgPt2: optimized geometry, PBE-GGA.

Results
DFT formation energy   0.3254 eV/atom

a = 4.3423 Å, b = 4.3423 Å, c = 8.5930 Å
α = 90.00°, β = 90.00°, γ = 90.00°
Space group I-4m2 (No. 119)
One atom of each set of equivalent atoms:
K1 0.0000 0.0000 0.0000 x2
Hg1 0.0000 0.5000 0.2500 x2
Pt1 0.0000 0.0000 0.5000 x2
Pt2 0.0000 0.5000 0.7500 x2


Entry 2:
SrY3Ir: optimized geometry, PBE-GGA.

Results
Energy above the lowest structure with this stoichiometry   57 meV per atom
DFT formation energy   -0.3133 eV/atom

a = 6.7583 Å, b = 7.7917 Å, c = 7.7919 Å
α = 60.25°, β = 74.37°, γ = 74.38°
Space group P1 (No. 1)
One atom of each set of equivalent atoms:
Sr1 0.0000 0.0000 0.0000 x1
Sr2 0.4540 0.2357 0.2341 x1
Y1 0.4762 0.7371 0.7356 x1
Y2 0.4780 0.2560 0.7194 x1
Y3 0.4784 0.7204 0.2553 x1
Y4 0.9551 0.4950 0.4949 x1
Y5 0.9553 0.5135 0.9865 x1
Y6 0.9554 0.9874 0.5128 x1
Ir1 0.2086 0.6162 0.6153 x1
Ir2 0.7007 0.8779 0.8770 x1


Entry 3:
SrGaNiGe2: optimized geometry, PBE-GGA.

Results
DFT formation energy   -0.3998 eV/atom

a = 4.2570 Å, b = 4.2570 Å, c = 10.7322 Å
α = 90.00°, β = 90.00°, γ = 90.00°
Space group I-4m2 (No. 119)
One atom of each set of equivalent atoms:
Sr1 0.0000 0.0000 0.0000 x2
Ga1 0.0000 0.5000 0.2500 x2
Ni1 0.0000 0.5000 0.7500 x2
Ge1 0.0000 0.0000 0.3769 x4


Entry 4:
MgCdHg2: optimized geometry, PBE-GGA.

Results
DFT formation energy   -0.0921 eV/atom

a = 4.7602 Å, b = 4.7602 Å, c = 7.9556 Å
α = 90.00°, β = 90.00°, γ = 90.00°
Space group I4/mmm (No. 139)
One atom of each set of equivalent atoms:
Mg1 0.0000 0.0000 0.0000 x2
Cd1 0.0000 0.0000 0.5000 x2
Hg1 0.0000 0.5000 0.2500 x4


Entry 5:
La2HoEr: optimized geometry, PBE-GGA.

Results
Energy above the lowest structure with this stoichiometry   0 meV per atom
DFT formation energy   0.0141 eV/atom

a = 3.6476 Å, b = 3.6476 Å, c = 34.9759 Å
α = 90.00°, β = 90.00°, γ = 120.00°
Space group R-3m (No. 166, hexagonal axes)
One atom of each set of equivalent atoms:
La1 0.0000 0.0000 0.2498 x6
Ho1 0.0000 0.0000 0.0000 x3
Er1 0.0000 0.0000 0.5000 x3


Entry 6:
Ba2IrO5: optimized geometry, PBE-GGA.

Results
Energy above the lowest structure with this stoichiometry   0 meV per atom
E_form (uncorrected)   -1797 meV/atom

a = 7.4814 Å, b = 5.7604 Å, c = 11.7210 Å
α = 90.00°, β = 90.00°, γ = 90.00°
Space group Pnma (No. 62)
One atom of each set of equivalent atoms:
Ba1 0.0216 0.2500 0.2108 x4
Ba2 0.1645 0.7500 0.4202 x4
Ir1 0.1709 0.7500 0.0622 x4
O1 0.0000 0.0000 0.0000 x4
O2 0.0305 0.7500 0.1982 x4
O3 0.1773 0.0081 0.6155 x8
O4 0.2128 0.2500 0.4099 x4


Entry 7:
SrCoRh3: optimized geometry, PBE-GGA.

Results
Energy above the lowest structure with this stoichiometry   1788 meV per atom
DFT formation energy   2.1511 eV/atom

a = 4.8823 Å, b = 4.8823 Å, c = 4.8823 Å
α = 90.00°, β = 90.00°, γ = 90.00°
Space group Pm-3m (No. 221)
One atom of each set of equivalent atoms:
Sr1 0.0000 0.0000 0.0000 x1
Co1 0.5000 0.5000 0.5000 x1
Rh1 0.0000 0.0000 0.5000 x3


Entry 8:
Y2AlVN: optimized geometry, PBE-GGA.

Results
E_form (uncorrected)   -764 meV/atom

a = 4.8922 Å, b = 4.8922 Å, c = 3.9117 Å
α = 90.00°, β = 90.00°, γ = 90.00°
Space group P4/mmm (No. 123)
One atom of each set of equivalent atoms:
Y1 0.0000 0.5000 0.0000 x2
Al1 0.0000 0.0000 0.5000 x1
V1 0.5000 0.5000 0.5000 x1
N1 0.5000 0.5000 0.0000 x1


Entry 9:
Pr6P5S: optimized geometry, PBE-GGA.

Results
E_form (uncorrected)   -1647 meV/atom

a = 7.2596 Å, b = 12.5673 Å, c = 7.2608 Å
α = 90.00°, β = 109.44°, γ = 90.00°
Space group C2/m (No. 12)
One atom of each set of equivalent atoms:
Pr1 0.2478 0.0000 0.2525 x4
Pr2 0.2479 0.1681 0.7484 x8
P1 0.0000 0.0000 0.5000 x2
P2 0.0000 0.1669 0.0000 x4
P3 0.0000 0.3337 0.5000 x4
S1 0.0000 0.5000 0.0000 x2


Entry 10:
Fe2ReIrN: optimized geometry, PBE-GGA.

Results
E_form (uncorrected)   74 meV/atom

a = 3.8672 Å, b = 3.8672 Å, c = 3.9482 Å
α = 90.00°, β = 90.00°, γ = 90.00°
Space group P4/mmm (No. 123)
One atom of each set of equivalent atoms:
Fe1 0.0000 0.5000 0.0000 x2
Re1 0.0000 0.0000 0.5000 x1
Ir1 0.5000 0.5000 0.5000 x1
N1 0.0000 0.0000 0.0000 x1


Entry 11:
Pm2Zn15Ru2: optimized geometry, PBE-GGA.

Results
DFT formation energy   -0.2196 eV/atom

a = 9.0245 Å, b = 9.0245 Å, c = 13.0741 Å
α = 90.00°, β = 90.00°, γ = 120.00°
Space group R-3m (No. 166, hexagonal axes)
One atom of each set of equivalent atoms:
Pm1 0.0000 0.0000 0.1650 x6
Zn1 0.0000 0.2847 0.5000 x18
Zn2 0.0000 0.5000 0.0000 x9
Zn3 0.0019 0.5009 0.3493 x18
Ru1 0.0000 0.0000 0.4000 x6


Entry 12:
NbVW: optimized geometry, PBE-GGA.

Results
Energy above the lowest structure with this stoichiometry   851 meV per atom
DFT formation energy   0.8306 eV/atom

a = 2.6608 Å, b = 2.6608 Å, c = 14.7706 Å
α = 90.00°, β = 90.00°, γ = 90.00°
Space group I4mm (No. 107)
One atom of each set of equivalent atoms:
Nb1 0.0000 0.0000 0.0000 x2
V1 0.0000 0.0000 0.8273 x2
W1 0.0000 0.0000 0.1820 x2


Entry 13:
Ga2BiAs: optimized geometry, PBE-GGA.

Results
Energy above the lowest structure with this stoichiometry   0 meV per atom
DFT formation energy   -0.1403 eV/atom

a = 6.1073 Å, b = 6.1073 Å, c = 12.0950 Å
α = 90.00°, β = 90.00°, γ = 90.00°
Space group I-42d (No. 122)
One atom of each set of equivalent atoms:
Ga1 0.2149 0.2500 0.1250 x8
Bi1 0.0000 0.0000 0.5000 x4
As1 0.0000 0.0000 0.0000 x4


Entry 14:
Dy2GaB: optimized geometry, PBE-GGA.

Results
DFT formation energy   0.1467 eV/atom

a = 3.7348 Å, b = 3.7348 Å, c = 26.6245 Å
α = 90.00°, β = 90.00°, γ = 120.00°
Space group R-3m (No. 166, hexagonal axes)
One atom of each set of equivalent atoms:
Dy1 0.0000 0.0000 0.1156 x6
Ga1 0.0000 0.0000 0.0000 x3
B1 0.0000 0.0000 0.5000 x3


Entry 15:
Na6MgPb2: optimized geometry, PBE-GGA.

Results
Energy above the lowest structure with this stoichiometry   0 meV per atom
DFT formation energy   -0.1138 eV/atom

a = 10.5981 Å, b = 5.5809 Å, c = 9.4580 Å
α = 90.00°, β = 96.14°, γ = 90.00°
Space group C2/m (No. 12)
One atom of each set of equivalent atoms:
Na1 0.0178 0.0000 0.2124 x4
Na2 0.1690 0.5000 0.1003 x4
Na3 0.1945 0.0000 0.5591 x4
Mg1 0.0000 0.5000 0.5000 x2
Pb1 0.1620 0.5000 0.7600 x4


Entry 16:
K2BeSe: optimized geometry, PBE-GGA.

Results
Energy above the lowest structure with this stoichiometry   49 meV per atom
E_form (uncorrected)   -263 meV/atom

a = 3.7408 Å, b = 5.2254 Å, c = 12.4496 Å
α = 90.00°, β = 90.00°, γ = 90.00°
Space group Imm2 (No. 44)
One atom of each set of equivalent atoms:
K1 0.0000 0.0000 0.0000 x2
K2 0.0000 0.5000 0.1931 x2
Be1 0.0000 0.0000 0.4042 x2
Se1 0.0000 0.5000 0.7973 x2


Entry 17:
Mg2GaPd2: optimized geometry, PBE-GGA.

Results
DFT formation energy   -0.5507 eV/atom

a = 4.3468 Å, b = 14.1067 Å, c = 5.4349 Å
α = 90.00°, β = 90.00°, γ = 90.00°
Space group Cmc2_1 (No. 36)
One atom of each set of equivalent atoms:
Mg1 0.0000 0.0098 0.0000 x4
Mg2 0.0000 0.2134 0.9110 x4
Ga1 0.0000 0.3999 0.7197 x4
Pd1 0.0000 0.1697 0.4016 x4
Pd2 0.0000 0.4041 0.2303 x4


Entry 18:
CuTe6Ir: optimized geometry, PBE-GGA.

Results
E_form (uncorrected)   -25 meV/atom

a = 6.6081 Å, b = 6.6182 Å, c = 6.6224 Å
α = 60.16°, β = 60.20°, γ = 60.27°
Space group P-1 (No. 2)
One atom of each set of equivalent atoms:
Cu1 0.0000 0.0000 0.0000 x1
Te1 0.0539 0.7377 0.4518 x2
Te2 0.2608 0.5486 0.9452 x2
Te3 0.4524 0.0535 0.7398 x2
Ir1 0.5000 0.5000 0.5000 x1


Entry 19:
MnInHPt2: optimized geometry, PBE-GGA.

a = 4.0695 Å, b = 4.0695 Å, c = 4.1169 Å
α = 90.00°, β = 90.00°, γ = 90.00°
Space group P4/mmm (No. 123)
One atom of each set of equivalent atoms:
Mn1 0.0000 0.0000 0.0000 x1
In1 0.5000 0.5000 0.0000 x1
H1 0.0000 0.0000 0.5000 x1
Pt1 0.0000 0.5000 0.5000 x2


Entry 20:
InTcAg: optimized geometry, PBE-GGA.

Results
Energy above the lowest structure with this stoichiometry   333 meV per atom
DFT formation energy   0.7814 eV/atom

a = 6.4022 Å, b = 6.4022 Å, c = 6.4022 Å
α = 90.00°, β = 90.00°, γ = 90.00°
Space group F-43m (No. 216)
One atom of each set of equivalent atoms:
In1 0.0000 0.0000 0.0000 x4
Tc1 0.2500 0.2500 0.7500 x4
Ag1 0.0000 0.0000 0.5000 x4


Entry 21:
CrCd2Ru: optimized geometry, PBE-GGA.

Results
Energy above the lowest structure with this stoichiometry   285 meV per atom
DFT formation energy   0.4466 eV/atom

a = 2.9205 Å, b = 4.1566 Å, c = 5.7296 Å
α = 90.00°, β = 90.00°, γ = 90.00°
Space group Pmmm (No. 47)
One atom of each set of equivalent atoms:
Cr1 0.0000 0.0000 0.0000 x1
Cd1 0.5000 0.5000 0.2536 x2
Ru1 0.0000 0.0000 0.5000 x1


Entry 22:
Dy2P4Ir3Ru: optimized geometry, PBE-GGA.

Results
DFT formation energy   -1.0098 eV/atom

a = 4.1544 Å, b = 4.1544 Å, c = 9.4032 Å
α = 90.00°, β = 90.00°, γ = 90.00°
Space group P-4m2 (No. 115)
One atom of each set of equivalent atoms:
Dy1 0.0000 0.5000 0.2391 x2
P1 0.0000 0.0000 0.0000 x1
P2 0.0000 0.5000 0.6339 x2
P3 0.5000 0.5000 0.0000 x1
Ir1 0.0000 0.5000 0.8844 x2
Ir2 0.5000 0.5000 0.5000 x1
Ru1 0.0000 0.0000 0.5000 x1


Entry 23:
TaRhCl2: optimized geometry, PBE-GGA.

Results
Energy above the lowest structure with this stoichiometry   709 meV per atom
E_form (uncorrected)   50 meV/atom

a = 3.0253 Å, b = 3.0253 Å, c = 25.5928 Å
α = 90.00°, β = 90.00°, γ = 120.00°
Space group R-3m (No. 166, hexagonal axes)
One atom of each set of equivalent atoms:
Ta1 0.0000 0.0000 0.0000 x3
Rh1 0.0000 0.0000 0.5000 x3
Cl1 0.0000 0.0000 0.2606 x6


Entry 24:
NaNiPb3: optimized geometry, PBE-GGA.

Results
Energy above the lowest structure with this stoichiometry   960 meV per atom
DFT formation energy   1.0301 eV/atom

a = 5.4351 Å, b = 5.4351 Å, c = 5.4351 Å
α = 90.00°, β = 90.00°, γ = 90.00°
Space group Pm-3m (No. 221)
One atom of each set of equivalent atoms:
Na1 0.0000 0.0000 0.0000 x1
Ni1 0.5000 0.5000 0.5000 x1
Pb1 0.0000 0.0000 0.5000 x3


Entry 25:
Pm5CuSe8: optimized geometry, PBE-GGA.

Results
E_form (uncorrected)   -1639 meV/atom

a = 8.7528 Å, b = 8.7528 Å, c = 9.0223 Å
α = 90.00°, β = 90.00°, γ = 90.00°
Space group I-4 (No. 82)
One atom of each set of equivalent atoms:
Pm1 0.0000 0.0000 0.0000 x2
Pm2 0.1287 0.7514 0.3826 x8
Cu1 0.0000 0.5000 0.7500 x2
Se1 0.0641 0.8054 0.7060 x8
Se2 0.0777 0.6825 0.0675 x8


no.,final energy (eV/atom)
1,-3.045
2,-6.300
3,-4.345
4,-0.870
5,-4.735
6,-6.484
7,-4.017
8,-7.587
9,-6.635
10,-9.238
11,-2.702
12,-9.883
13,-3.786
14,-4.580
15,-1.994
16,-2.614
17,-3.871
18,-4.001
19,-5.653
20,-4.537
21,-4.736
22,-7.680
23,-5.674
24,-2.615
25,-5.620